Ca2ScIn: optimized geometry, GGA-PBEsol.

* DFT formation energy: -0.14 eV/atom
* energy: -3.60 eV/atom

Cell: 5.3561 5.3594 5.3561 Å, 60.02 90.00 119.98°
Fractional coordinates of all 4 atoms:
Ca (0.0000, 0.0000, 0.0000)
Ca (0.2500, 0.5000, 0.2500)
Sc (0.7500, 0.5000, 0.7500)
In (0.5000, 0.0000, 0.5000)